<a>
Entry from Alexandria: a relaxed structure of Rb2NaHfI6 (GGA-PBE).

Summary:
As for the total moment: 1.000 μB per formula unit.

Geometry as CIF:
```
data_Rb2NaHfI6
_chemical_formula_sum 'Rb8 Na4 Hf4 I24'
_cell_length_a 12.058
_cell_length_b 12.058
_cell_length_c 12.058
_cell_angle_alpha 90.00
_cell_angle_beta 90.00
_cell_angle_gamma 90.00
_symmetry_space_group_name_H-M 'F m -3 m'
_symmetry_Int_Tables_number 225
_symmetry_space_group_name_Hall '-F 4 2 3'
loop_
_atom_site_label
_atom_site_fract_x
_atom_site_fract_y
_atom_site_fract_z
Rb1 0.250 0.250 0.250
Na1 0.000 0.000 0.000
Hf1 0.000 0.000 0.500
I1 0.000 0.000 0.260
```

<b>
Entry from Alexandria: a relaxed structure of Rb2NaHfI6 (GGA-PBE).

Summary:
As for the total moment: 1.004 μB per formula unit.

Geometry as CIF:
```
data_Rb2NaHfI6
_chemical_formula_sum 'Rb12 Na6 Hf6 I36'
_cell_length_a 8.3913
_cell_length_b 8.3913
_cell_length_c 44.3985
_cell_angle_alpha 90.00
_cell_angle_beta 90.00
_cell_angle_gamma 120.00
_symmetry_space_group_name_H-M 'R -3 m'
_symmetry_Int_Tables_number 166
_symmetry_space_group_name_Hall '-R 3 2"'
loop_
_atom_site_label
_atom_site_fract_x
_atom_site_fract_y
_atom_site_fract_z
Rb1 0.0000 0.0000 0.1336
Rb2 0.0000 0.0000 0.3048
Na1 0.0000 0.0000 0.4164
Hf1 0.0000 0.0000 0.0000
Hf2 0.0000 0.0000 0.5000
I1 0.0034 0.5017 0.1293
I2 0.0097 0.5049 0.7048
```

Last place for stability: <a>

<a>
Entry from Alexandria: a relaxed structure of Hf3NbI (GGA-PBE).

Summary:
As for the total moment: 0.000 μB per formula unit.

Geometry as CIF:
```
data_Hf3NbI
_chemical_formula_sum 'Hf3 Nb1 I1'
_cell_length_a 5.169
_cell_length_b 5.169
_cell_length_c 5.169
_cell_angle_alpha 90.00
_cell_angle_beta 90.00
_cell_angle_gamma 90.00
_symmetry_space_group_name_H-M 'P m -3 m'
_symmetry_Int_Tables_number 221
_symmetry_space_group_name_Hall '-P 4 2 3'
loop_
_atom_site_label
_atom_site_fract_x
_atom_site_fract_y
_atom_site_fract_z
Hf1 0.000 0.000 0.500
Nb1 0.000 0.000 0.000
I1 0.500 0.500 0.500
```

<b>
Entry from Alexandria: a relaxed structure of Hf3NbI (GGA-PBE).

Summary:
As for the total moment: 0.000 μB per formula unit.

Geometry as CIF:
```
data_Hf3NbI
_chemical_formula_sum 'Hf3 Nb1 I1'
_cell_length_a 5.102
_cell_length_b 5.102
_cell_length_c 5.102
_cell_angle_alpha 90.00
_cell_angle_beta 90.00
_cell_angle_gamma 90.00
_symmetry_space_group_name_H-M 'P m -3 m'
_symmetry_Int_Tables_number 221
_symmetry_space_group_name_Hall '-P 4 2 3'
loop_
_atom_site_label
_atom_site_fract_x
_atom_site_fract_y
_atom_site_fract_z
Hf1 0.000 0.000 0.500
Nb1 0.500 0.500 0.500
I1 0.000 0.000 0.000
```

Last place for stability: <b>

<a>
Entry from Alexandria: a relaxed structure of HfNb2I (GGA-PBE).

Summary:
As for the total moment: 0.000 μB per formula unit.

Geometry as CIF:
```
data_HfNb2I
_chemical_formula_sum 'Hf4 Nb8 I4'
_cell_length_a 6.832
_cell_length_b 6.832
_cell_length_c 6.832
_cell_angle_alpha 90.00
_cell_angle_beta 90.00
_cell_angle_gamma 90.00
_symmetry_space_group_name_H-M 'F m -3 m'
_symmetry_Int_Tables_number 225
_symmetry_space_group_name_Hall '-F 4 2 3'
loop_
_atom_site_label
_atom_site_fract_x
_atom_site_fract_y
_atom_site_fract_z
Hf1 0.000 0.000 0.000
Nb1 0.250 0.250 0.250
I1 0.000 0.000 0.500
```

<b>
Entry from Alexandria: a relaxed structure of HfNb2I (GGA-PBE).

Summary:
As for the total moment: 0.000 μB per formula unit.

Geometry as CIF:
```
data_HfNb2I
_chemical_formula_sum 'Hf4 Nb8 I4'
_cell_length_a 4.140
_cell_length_b 4.140
_cell_length_c 20.293
_cell_angle_alpha 90.00
_cell_angle_beta 90.00
_cell_angle_gamma 90.00
_symmetry_space_group_name_H-M 'I -4 2 d'
_symmetry_Int_Tables_number 122
_symmetry_space_group_name_Hall 'I -4 2bw'
loop_
_atom_site_label
_atom_site_fract_x
_atom_site_fract_y
_atom_site_fract_z
Hf1 0.000 0.000 0.000
Nb1 0.244 0.250 0.625
I1 0.000 0.000 0.500
```

Last place for stability: <b>